one | Below is an optimized crystal structure of Sb3IN, with properties calculated at the PBE level.

abc: 4.9311 4.9311 4.9311
angles: 90.00 90.00 90.00
Last column: nearest neighbours and their distance in Å.
Sites, in units of the cell vectors:
I (0.5000, 0.5000, 0.5000)  12 Sb 3.49
Sb (0.0000, 0.0000, 0.5000)  2 N 2.47
Sb (0.0000, 0.5000, 0.0000)  2 N 2.47
N (0.0000, 0.0000, 0.0000)  6 Sb 2.47
Sb (0.5000, 0.0000, 0.0000)  2 N 2.47

Values from the calculation:
Space-group type: Pm-3m
D(E_F), states/eV per atom: 0.658

***

two | Below is an optimized crystal structure of Sb3IN, with properties calculated at the PBE level.

abc: 5.7552 5.7552 5.7552
angles: 90.00 90.00 90.00
Last column: nearest neighbours and their distance in Å.
Sites, in units of the cell vectors:
I (0.0000, 0.0000, 0.0000)  6 Sb 2.88
Sb (0.5000, 0.0000, 0.0000)  2 I 2.88
Sb (0.0000, 0.5000, 0.0000)  2 I 2.88
N (0.5000, 0.5000, 0.5000)  12 Sb 4.07
Sb (0.0000, 0.0000, 0.5000)  2 I 2.88

Values from the calculation:
Space-group type: Pm-3m
D(E_F), states/eV per atom: 2.889

***

Stability comparison, relative energies in eV/atom: one 0.000; two 1.634

***

one | Below is an optimized crystal structure of SbSe2IN, with properties calculated at the PBE level.

abc: 5.5610 5.5610 3.9346
angles: 90.00 90.00 90.00
Last column: nearest neighbours and their distance in Å.
Sites, in units of the cell vectors:
Sb (0.5000, 0.5000, 0.5000)  8 Se 3.41
I (0.0000, 0.0000, 0.0000)  2 N 1.97
N (0.0000, 0.0000, 0.5000)  2 I 1.97
Se (0.5000, 0.0000, 0.0000)  2 I 2.78
Se (0.0000, 0.5000, 0.0000)  2 I 2.78

Values from the calculation:
Space-group type: P4/mmm
D(E_F), states/eV per atom: 0.474

***

two | Below is an optimized crystal structure of SbSe2IN, with properties calculated at the PBE level.

abc: 5.5239 5.5239 3.9488
angles: 90.00 90.00 90.00
Last column: nearest neighbours and their distance in Å.
Sites, in units of the cell vectors:
Se (0.5000, 0.0000, 0.0000)  2 Sb 2.76
N (0.0000, 0.0000, 0.5000)  2 Sb 1.97
Se (0.0000, 0.5000, 0.0000)  2 Sb 2.76
Sb (0.0000, 0.0000, 0.0000)  2 N 1.97
I (0.5000, 0.5000, 0.5000)  8 Se 3.40

Values from the calculation:
Space-group type: P4/mmm
D(E_F), states/eV per atom: 1.066

***

Stability comparison, relative energies in eV/atom: one 0.260; two 0.000

***

one | Below is an optimized crystal structure of SnSbI2N, with properties calculated at the PBE level.

abc: 6.3115 6.3115 3.9983
angles: 90.00 90.00 90.00
Last column: nearest neighbours and their distance in Å.
Sites, in units of the cell vectors:
Sb (0.0000, 0.0000, 0.0000)  2 N 2.00
Sn (0.5000, 0.5000, 0.5000)  8 I 3.74, 2 Sn 4.00
I (0.5000, 0.0000, 0.0000)  2 Sb 3.16
I (0.0000, 0.5000, 0.0000)  2 Sb 3.16
N (0.0000, 0.0000, 0.5000)  2 Sb 2.00

Values from the calculation:
Space-group type: P4/mmm
D(E_F), states/eV per atom: 0.463

***

two | Below is an optimized crystal structure of SnSbI2N, with properties calculated at the PBE level.

abc: 6.1863 6.1863 3.8642
angles: 90.00 90.00 90.00
Last column: nearest neighbours and their distance in Å.
Sites, in units of the cell vectors:
N (0.0000, 0.0000, 0.5000)  2 Sn 1.93
I (0.0000, 0.5000, 0.0000)  2 Sn 3.09
Sb (0.5000, 0.5000, 0.5000)  8 I 3.65, 2 Sb 3.86
Sn (0.0000, 0.0000, 0.0000)  2 N 1.93
I (0.5000, 0.0000, 0.0000)  2 Sn 3.09

Values from the calculation:
Space-group type: P4/mmm
D(E_F), states/eV per atom: 0.735

***

Stability comparison, relative energies in eV/atom: one 0.000; two 0.139